(1)
{"formula": "KSbMo2", "functional": "PBE", "state": "relaxed", "lattice": [[2.942, -5.073, 0.000], [2.942, 5.073, 0.000], [0.000, 0.000, 2.790]], "species": ["K", "Sb", "Mo", "Mo"], "fractional_positions": [[0.000, 0.000, 0.000], [0.500, 0.500, 0.000], [0.000, 0.500, 0.500], [0.500, 0.000, 0.500]], "sg": "Cmmm (65)", "dft_energy_ev_per_atom": -5.395, "formation_energy_uncorrected_mev_per_atom": 1326}

***

(2)
{"formula": "RbCdO2", "functional": "PBE", "state": "relaxed", "lattice": [[1.739, 1.004, 7.190], [-1.739, 1.004, 7.190], [0.000, -2.008, 7.190]], "species": ["Rb", "Cd", "O", "O"], "fractional_positions": [[0.000, 0.000, 0.000], [0.500, 0.500, 0.500], [0.115, 0.115, 0.115], [0.885, 0.885, 0.885]], "sg": "R-3m (166)", "dft_energy_ev_per_atom": -3.513, "formation_energy_uncorrected_mev_per_atom": -563}

***

(3)
{"formula": "VGeBi2N", "functional": "PBE", "state": "relaxed", "lattice": [[5.590, 0.000, 0.000], [0.000, 5.590, 0.000], [0.000, 0.000, 3.617]], "species": ["V", "Ge", "Bi", "Bi", "N"], "fractional_positions": [[0.000, 0.000, 0.000], [0.500, 0.500, 0.500], [0.000, 0.500, 0.000], [0.500, 0.000, 0.000], [0.000, 0.000, 0.500]], "sg": "P4/mmm (123)", "dft_energy_ev_per_atom": -5.651, "formation_energy_uncorrected_mev_per_atom": 314}